Entry 1:
Here is an optimized crystal structure of Li2CeTe3 from the Alexandria database. Energies are from PBE.

Summary:
Formation energy without anion corrections ... -1080 meV/atom
ρ ... 5.2 g/cm3

a = 4.409 Å, b = 12.674 Å, c = 6.139 Å
α = 90.00°, β = 90.00°, γ = 90.00°
Space group Pmmn (No. 59, origin choice 2)
Inequivalent atoms, fractional coordinates:
Li: 0.250 0.091 0.247 (multiplicity 4)
Ce: 0.250 0.750 0.252 (multiplicity 2)
Te: 0.250 0.081 0.749 (multiplicity 4)
Te: 0.250 0.750 0.752 (multiplicity 2)

=====

Entry 2:
Here is an optimized crystal structure of BaHg4As2 from the Alexandria database. Energies are from PBE.

Summary:
Formation energy from the elements ... -1.894 eV/f.u.
D(E_F) ... 2.01 states/eV per cell
ρ ... 9.3 g/cm3

a = 4.861 Å, b = 4.835 Å, c = 8.563 Å
α = 90.00°, β = 104.61°, γ = 90.00°
Space group P2/m (No. 10)
Inequivalent atoms, fractional coordinates:
Ba: 0.000 0.000 0.000 (multiplicity 1)
Hg: 0.179 0.500 0.366 (multiplicity 2)
Hg: 0.312 0.000 0.624 (multiplicity 2)
As: 0.428 0.500 0.855 (multiplicity 2)

=====

Entry 3:
Here is an optimized crystal structure of MgCoTcOs from the Alexandria database. Energies are from PBE.

Summary:
Formation energy from the elements ... 0.658 eV/f.u.
D(E_F) ... 7.28 states/eV per cell
ρ ... 11.0 g/cm3

a = 6.078 Å, b = 6.078 Å, c = 6.078 Å
α = 90.00°, β = 90.00°, γ = 90.00°
Space group F-43m (No. 216)
Inequivalent atoms, fractional coordinates:
Mg: 0.000 0.000 0.000 (multiplicity 4)
Co: 0.250 0.250 0.250 (multiplicity 4)
Tc: 0.000 0.000 0.500 (multiplicity 4)
Os: 0.250 0.250 0.750 (multiplicity 4)

=====

Entry 4:
Here is an optimized crystal structure of Pr4Sm2Sn3N2 from the Alexandria database. Energies are from PBE.

Summary:
D(E_F) ... 3.80 states/eV per cell
Formation energy without anion corrections ... -906 meV/atom
ρ ... 6.6 g/cm3

a = 4.913 Å, b = 4.913 Å, c = 25.875 Å
α = 90.00°, β = 90.00°, γ = 90.00°
Space group I4/mmm (No. 139)
Inequivalent atoms, fractional coordinates:
Pr: 0.000 0.500 0.085 (multiplicity 8)
Sm: 0.000 0.000 0.194 (multiplicity 4)
Sn: 0.000 0.000 0.322 (multiplicity 4)
Sn: 0.000 0.000 0.500 (multiplicity 2)
N: 0.000 0.000 0.106 (multiplicity 4)

=====

Entry 5:
Here is an optimized crystal structure of ScNb2Tl from the Alexandria database. Energies are from PBE.

Summary:
Formation energy from the elements ... 1.753 eV/f.u.
D(E_F) ... 25.60 states/eV per cell
ρ ... 9.0 g/cm3

a = 6.849 Å, b = 6.849 Å, c = 6.849 Å
α = 90.00°, β = 90.00°, γ = 90.00°
Space group Fm-3m (No. 225)
Inequivalent atoms, fractional coordinates:
Sc: 0.000 0.000 0.000 (multiplicity 4)
Nb: 0.250 0.250 0.250 (multiplicity 8)
Tl: 0.000 0.000 0.500 (multiplicity 4)

=====

Entry 6:
Here is an optimized crystal structure of Ac5Sn4 from the Alexandria database. Energies are from PBE.

Summary:
Formation energy from the elements ... -5.970 eV/f.u.
D(E_F) ... 12.68 states/eV per cell
ρ ... 8.1 g/cm3

a = 12.430 Å, b = 5.023 Å, c = 11.450 Å
α = 90.00°, β = 112.72°, γ = 90.00°
Space group C2/m (No. 12)
Inequivalent atoms, fractional coordinates:
Ac: 0.000 0.000 0.000 (multiplicity 2)
Ac: 0.097 0.000 0.390 (multiplicity 4)
Ac: 0.248 0.000 0.834 (multiplicity 4)
Sn: 0.048 0.500 0.833 (multiplicity 4)
Sn: 0.128 0.500 0.610 (multiplicity 4)

=====

Entry 7:
Here is an optimized crystal structure of BeTcOs2 from the Alexandria database. Energies are from PBE.

Summary:
Formation energy from the elements ... 1.289 eV/f.u.
D(E_F) ... 3.84 states/eV per cell
ρ ... 15.1 g/cm3

a = 3.790 Å, b = 3.790 Å, c = 3.733 Å
α = 90.00°, β = 90.00°, γ = 90.00°
Space group P4/mmm (No. 123)
Inequivalent atoms, fractional coordinates:
Be: 0.000 0.000 0.000 (multiplicity 1)
Tc: 0.500 0.500 0.000 (multiplicity 1)
Os: 0.000 0.500 0.500 (multiplicity 2)

=====

Entry 8:
Here is an optimized crystal structure of Mg2TiCu2 from the Alexandria database. Energies are from PBE.

Summary:
Formation energy from the elements ... 0.473 eV/f.u.
D(E_F) ... 11.66 states/eV per cell
ρ ... 4.6 g/cm3

a = 7.452 Å, b = 7.452 Å, c = 2.934 Å
α = 90.00°, β = 90.00°, γ = 90.00°
Space group P4/mbm (No. 127)
Inequivalent atoms, fractional coordinates:
Mg: 0.166 0.334 0.000 (multiplicity 4)
Ti: 0.000 0.000 0.500 (multiplicity 2)
Cu: 0.131 0.631 0.500 (multiplicity 4)

=====

Entry 9:
Here is an optimized crystal structure of CaMgCd5Ag2 from the Alexandria database. Energies are from PBE.

Summary:
Formation energy from the elements ... 0.103 eV/f.u.
D(E_F) ... 2.37 states/eV per cell
ρ ... 6.3 g/cm3

a = 5.172 Å, b = 5.172 Å, c = 8.248 Å
α = 90.00°, β = 90.00°, γ = 90.00°
Space group P4/mmm (No. 123)
Inequivalent atoms, fractional coordinates:
Ca: 0.000 0.000 0.000 (multiplicity 1)
Mg: 0.000 0.000 0.500 (multiplicity 1)
Cd: 0.000 0.500 0.244 (multiplicity 4)
Cd: 0.500 0.500 0.000 (multiplicity 1)
Ag: 0.500 0.500 0.342 (multiplicity 2)

=====

Entry 10:
Here is an optimized crystal structure of Ag2PdPb2 from the Alexandria database. Energies are from PBE.

Summary:
Formation energy from the elements ... 0.483 eV/f.u.
D(E_F) ... 4.09 states/eV per cell
ρ ... 10.8 g/cm3

a = 7.260 Å, b = 7.260 Å, c = 4.296 Å
α = 90.00°, β = 90.00°, γ = 90.00°
Space group P4/mbm (No. 127)
Inequivalent atoms, fractional coordinates:
Ag: 0.135 0.365 0.000 (multiplicity 4)
Pd: 0.000 0.000 0.000 (multiplicity 2)
Pb: 0.175 0.675 0.500 (multiplicity 4)

=====

Entry 11:
Here is an optimized crystal structure of Zr2BeAu from the Alexandria database. Energies are from PBE.

Summary:
Formation energy from the elements ... -0.731 eV/f.u.
D(E_F) ... 9.09 states/eV per cell
ρ ... 8.8 g/cm3

a = 4.237 Å, b = 4.237 Å, c = 8.125 Å
α = 90.00°, β = 90.00°, γ = 90.00°
Space group I4/mmm (No. 139)
Inequivalent atoms, fractional coordinates:
Zr: 0.000 0.500 0.250 (multiplicity 4)
Be: 0.000 0.000 0.000 (multiplicity 2)
Au: 0.000 0.000 0.500 (multiplicity 2)

=====

Entry 12:
Here is an optimized crystal structure of Mg2TcNi from the Alexandria database. Energies are from PBE.

Summary:
Formation energy from the elements ... 0.732 eV/f.u.
D(E_F) ... 7.80 states/eV per cell
ρ ... 5.6 g/cm3

a = 2.8143 Å, b = 2.8143 Å, c = 26.7372 Å
α = 90.00°, β = 90.00°, γ = 120.00°
Space group R-3m (No. 166, hexagonal axes)
Inequivalent atoms, fractional coordinates:
Mg: 0.0000 0.0000 0.2454 (multiplicity 6)
Tc: 0.0000 0.0000 0.0000 (multiplicity 3)
Ni: 0.0000 0.0000 0.5000 (multiplicity 3)